(1)
# Zn2Cd3Au4 GGA-PBE optimized geometry
data_Zn2Cd3Au4
_symmetry_space_group_name_H-M 'C 1 2/m 1'
_symmetry_Int_Tables_number 12
_symmetry_space_group_name_Hall '-C 2y'
_cell_length_a 10.217
_cell_length_b 4.576
_cell_length_c 8.725
_cell_angle_alpha 90.00
_cell_angle_beta 125.63
_cell_angle_gamma 90.00
loop_
_atom_site_label
_atom_site_type_symbol
_atom_site_fract_x
_atom_site_fract_y
_atom_site_fract_z
_atom_site_occupancy
Zn1 Zn 0.114 0.000 0.283 1
Cd1 Cd 0.000 0.500 0.000 1
Cd2 Cd 0.163 0.000 0.672 1
Au1 Au 0.066 0.500 0.393 1
Au2 Au 0.209 0.000 0.059 1
# formation enthalpy at 0 K = -152 meV/atom
# E above lowest polymorph = 9 meV/atom

---

(2)
# Zn3Cd2Au4 GGA-PBE optimized geometry
data_Zn3Cd2Au4
_symmetry_space_group_name_H-M 'P -1'
_symmetry_Int_Tables_number 2
_symmetry_space_group_name_Hall '-P 1'
_cell_length_a 4.154
_cell_length_b 4.968
_cell_length_c 8.758
_cell_angle_alpha 75.89
_cell_angle_beta 89.35
_cell_angle_gamma 65.81
loop_
_atom_site_label
_atom_site_type_symbol
_atom_site_fract_x
_atom_site_fract_y
_atom_site_fract_z
_atom_site_occupancy
Zn1 Zn 0.000 0.000 0.000 1
Zn2 Zn 0.349 0.301 0.440 1
Cd1 Cd 0.301 0.391 0.772 1
Au1 Au 0.041 0.925 0.348 1
Au2 Au 0.364 0.279 0.111 1
# formation enthalpy at 0 K = -149 meV/atom
# E above lowest polymorph = 12 meV/atom

---

> E above lowest polymorph of number 1 (Zn2Cd3Au4)?

9 meV/atom

---

What did the second record say?
# Zn3Cd2Au4 GGA-PBE optimized geometry
data_Zn3Cd2Au4
_symmetry_space_group_name_H-M 'P -1'
_symmetry_Int_Tables_number 2
_symmetry_space_group_name_Hall '-P 1'
_cell_length_a 4.154
_cell_length_b 4.968
_cell_length_c 8.758
_cell_angle_alpha 75.89
_cell_angle_beta 89.35
_cell_angle_gamma 65.81
loop_
_atom_site_label
_atom_site_type_symbol
_atom_site_fract_x
_atom_site_fract_y
_atom_site_fract_z
_atom_site_occupancy
Zn1 Zn 0.000 0.000 0.000 1
Zn2 Zn 0.349 0.301 0.440 1
Cd1 Cd 0.301 0.391 0.772 1
Au1 Au 0.041 0.925 0.348 1
Au2 Au 0.364 0.279 0.111 1
# formation enthalpy at 0 K = -149 meV/atom
# E above lowest polymorph = 12 meV/atom

---

> What is the formula in the first record?

Zn2Cd3Au4